Entry from Alexandria: a geometry-optimized LuBiSb2 structure (GGA-PBE).

Cell: 3.9147 3.9147 7.2552 Å, 90.00 90.00 90.00°
Space group P4/mmm (No. 123)
One atom of each set of equivalent atoms:
Lu1 0.0000 0.0000 0.0000 [1 per cell]
Bi1 0.0000 0.0000 0.5000 [1 per cell]
Sb1 0.5000 0.5000 0.2139 [2 per cell]

uncorrected formation energy	-0.30	eV per atom
E above lowest polymorph	0.074	eV/atom

Entry from Alexandria: a geometry-optimized MnCd2In structure (GGA-PBE).

Cell: 3.1763 3.1763 29.0512 Å, 90.00 90.00 120.00°
Space group R3m (No. 160, hexagonal axes)
One atom of each set of equivalent atoms:
Mn1 0.0000 0.0000 0.0000 [3 per cell]
Cd1 0.0000 0.0000 0.4999 [3 per cell]
Cd2 0.0000 0.0000 0.7430 [3 per cell]
In1 0.0000 0.0000 0.2558 [3 per cell]

formation energy	0.21	eV/atom

Entry from Alexandria: a geometry-optimized BaCr2H8 structure (GGA-PBE).

Cell: 4.2885 8.3750 5.3059 Å, 90.00 90.74 90.00°
Space group Cm (No. 8)
One atom of each set of equivalent atoms:
Ba1 0.0000 0.0000 0.0000 [2 per cell]
Cr1 0.0116 0.3261 0.5069 [4 per cell]
H1 0.0098 0.5000 0.3120 [2 per cell]
H2 0.2472 0.2388 0.2804 [4 per cell]
H3 0.4337 0.3690 0.5511 [4 per cell]
H4 0.4850 0.1883 0.8165 [4 per cell]
H5 0.4964 0.0000 0.6765 [2 per cell]

VASP energy	-4.47	eV per atom

Entry from Alexandria: a geometry-optimized CrTc2AuN structure (GGA-PBE).

Cell: 4.0776 4.0776 3.9659 Å, 90.00 90.00 90.00°
Space group P4/mmm (No. 123)
One atom of each set of equivalent atoms:
Cr1 0.0000 0.0000 0.0000 [1 per cell]
Tc1 0.0000 0.5000 0.5000 [2 per cell]
Au1 0.5000 0.5000 0.0000 [1 per cell]
N1 0.0000 0.0000 0.5000 [1 per cell]

uncorrected formation energy	0.02	eV per atom

Entry from Alexandria: a geometry-optimized LuScNiHg structure (GGA-PBE).

Cell: 6.8629 6.8629 6.8629 Å, 90.00 90.00 90.00°
Space group F-43m (No. 216)
One atom of each set of equivalent atoms:
Lu1 0.0000 0.0000 0.0000 [4 per cell]
Sc1 0.0000 0.0000 0.5000 [4 per cell]
Ni1 0.2500 0.2500 0.7500 [4 per cell]
Hg1 0.2500 0.2500 0.2500 [4 per cell]

formation energy	-0.38	eV/atom

Entry from Alexandria: a geometry-optimized Ca2CoSe4 structure (GGA-PBE).

Cell: 4.6793 4.6793 15.1071 Å, 90.00 90.00 90.00°
Space group I4/mmm (No. 139)
One atom of each set of equivalent atoms:
Ca1 0.0000 0.0000 0.1419 [4 per cell]
Co1 0.0000 0.0000 0.5000 [2 per cell]
Se1 0.0000 0.0000 0.3339 [4 per cell]
Se2 0.0000 0.5000 0.0000 [4 per cell]

uncorrected formation energy	-0.90	eV per atom

Entry from Alexandria: a geometry-optimized NdPuSbTe structure (GGA-PBE).

Cell: 4.4874 4.4874 21.9015 Å, 90.00 90.00 120.00°
Space group R3m (No. 160, hexagonal axes)
One atom of each set of equivalent atoms:
Nd1 0.0000 0.0000 0.0000 [3 per cell]
Pu1 0.0000 0.0000 0.5037 [3 per cell]
Sb1 0.0000 0.0000 0.2504 [3 per cell]
Te1 0.0000 0.0000 0.7545 [3 per cell]

uncorrected formation energy	-1.12	eV per atom
E above lowest polymorph	0.000	eV/atom

Entry from Alexandria: a geometry-optimized PAuF2 structure (GGA-PBE).

Cell: 2.7503 2.7503 27.5292 Å, 90.00 90.00 120.00°
Space group R-3m (No. 166, hexagonal axes)
One atom of each set of equivalent atoms:
P1 0.0000 0.0000 0.0000 [3 per cell]
Au1 0.0000 0.0000 0.5000 [3 per cell]
F1 0.0000 0.0000 0.3916 [6 per cell]

uncorrected formation energy	-0.50	eV per atom
E above lowest polymorph	0.559	eV/atom

Entry from Alexandria: a geometry-optimized Ac2TaSi3Ir4 structure (GGA-PBE).

Cell: 4.2670 4.2670 10.5589 Å, 90.00 90.00 90.00°
Space group P-4m2 (No. 115)
One atom of each set of equivalent atoms:
Ac1 0.0000 0.5000 0.2448 [2 per cell]
Ta1 0.0000 0.0000 0.5000 [1 per cell]
Si1 0.0000 0.5000 0.8784 [2 per cell]
Si2 0.5000 0.5000 0.5000 [1 per cell]
Ir1 0.0000 0.0000 0.0000 [1 per cell]
Ir2 0.0000 0.5000 0.6366 [2 per cell]
Ir3 0.5000 0.5000 0.0000 [1 per cell]

uncorrected formation energy	-0.85	eV per atom

Entry from Alexandria: a geometry-optimized Co3TeAs structure (GGA-PBE).

Cell: 4.6193 4.6193 4.6193 Å, 90.00 90.00 90.00°
Space group Pm-3m (No. 221)
One atom of each set of equivalent atoms:
Co1 0.0000 0.0000 0.5000 [3 per cell]
Te1 0.0000 0.0000 0.0000 [1 per cell]
As1 0.5000 0.5000 0.5000 [1 per cell]

uncorrected formation energy	1.19	eV per atom
E above lowest polymorph	0.596	eV/atom

Entry from Alexandria: a geometry-optimized Fe2PPb structure (GGA-PBE).

Cell: 3.1113 3.1113 7.0319 Å, 90.00 90.00 90.00°
Space group P4mm (No. 99)
One atom of each set of equivalent atoms:
Fe1 0.0000 0.0000 0.0000 [1 per cell]
Fe2 0.5000 0.5000 0.1863 [1 per cell]
P1 0.0000 0.0000 0.3239 [1 per cell]
Pb1 0.5000 0.5000 0.7172 [1 per cell]

formation energy	0.14	eV/atom

Entry from Alexandria: a geometry-optimized Fe2CuTe structure (GGA-PBE).

Cell: 3.2854 3.2854 5.5543 Å, 90.00 90.00 90.00°
Space group P4mm (No. 99)
One atom of each set of equivalent atoms:
Fe1 0.0000 0.0000 0.0000 [1 per cell]
Fe2 0.5000 0.5000 0.2249 [1 per cell]
Cu1 0.5000 0.5000 0.7815 [1 per cell]
Te1 0.0000 0.0000 0.4861 [1 per cell]

uncorrected formation energy	0.30	eV per atom

The following total magnetization values (in μB per cell) correspond, in order, to the records above: 0.0, 11.6, 4.2, 1.5, 0.0, 2.2, 17.0, 0.0, 0.0, 2.3, 4.6, 5.0.
The following Fermi-level density of states values (in states/eV per cell) correspond, in order, to the records above: 3.4, 6.6, 6.7, 4.8, 7.7, 13.7, 38.3, 2.6, 6.9, 8.4, 2.7, 3.6.